Entry 1:
Computed, not measured: an optimized crystal structure of LaFeRe2 at the GGA-PBE level of DFT.

Summary:
excess energy over the best structure of this formula in the dataset	0.713	eV per atom
space-group type	P4/mmm, No. 123
size of the total moment	2.5	μB/f.u.
D(E_F)	1.253	states/eV/atom
ΔE_f	0.945	eV per atom

Cell lengths 4.5773, 4.5773, 3.3637 Å; angles 90.00, 90.00, 90.00 degrees
Last column: nearest neighbours and their distance in Å.
Fractional coordinates of all 4 atoms:
La  0.0000  0.0000  0.0000  8 Re 2.84
Fe  0.5000  0.5000  0.0000  8 Re 2.84
Re  0.0000  0.5000  0.5000  4 La 2.84, 4 Fe 2.84
Re  0.5000  0.0000  0.5000  4 La 2.84, 4 Fe 2.84

Entry 2:
Computed, not measured: an optimized crystal structure of LaFeRe2 at the GGA-PBE level of DFT.

Summary:
excess energy over the best structure of this formula in the dataset	0.634	eV per atom
space-group type	I4/mmm, No. 139
size of the total moment	2.4	μB/f.u.
D(E_F)	1.153	states/eV/atom
ΔE_f	0.866	eV per atom

Cell lengths 5.7310, 5.7310, 5.7310 Å; angles 141.31, 141.31, 55.87 degrees
Last column: nearest neighbours and their distance in Å.
Fractional coordinates of all 4 atoms:
La  0.0000  0.0000  0.0000  4 Fe 2.68
Fe  0.5000  0.5000  0.0000  4 La 2.68
Re  0.2500  0.7500  0.5000  4 Re 2.68
Re  0.7500  0.2500  0.5000  4 Re 2.68

Entry 3:
Computed, not measured: an optimized crystal structure of La2FeRe at the GGA-PBE level of DFT.

Summary:
excess energy over the best structure of this formula in the dataset	0.467	eV per atom
space-group type	R-3m, No. 166
size of the total moment	1.8	μB/f.u.
D(E_F)	1.576	states/eV/atom
ΔE_f	0.754	eV per atom

Cell lengths 9.0295, 9.0295, 9.0295 Å; angles 22.25, 22.25, 22.25 degrees
Last column: nearest neighbours and their distance in Å.
Fractional coordinates of all 4 atoms:
La  0.2491  0.2491  0.2491  3 Fe 2.96, 3 Re 3.00
La  0.7509  0.7509  0.7509  3 Fe 2.96, 3 Re 3.00
Fe  0.5000  0.5000  0.5000  6 La 2.96
Re  0.0000  0.0000  0.0000  6 La 3.00

Entry 4:
Computed, not measured: an optimized crystal structure of LaFeRe2 at the GGA-PBE level of DFT.

Summary:
excess energy over the best structure of this formula in the dataset	0.410	eV per atom
space-group type	Pmmm, No. 47
size of the total moment	2.3	μB/f.u.
D(E_F)	0.866	states/eV/atom
ΔE_f	0.642	eV per atom

Cell lengths 3.1589, 4.4469, 5.0295 Å; angles 90.00, 90.00, 90.00 degrees
Last column: nearest neighbours and their distance in Å.
Fractional coordinates of all 4 atoms:
La  0.0000  0.0000  0.0000  4 Fe 2.73, 4 Re 2.97
Fe  0.5000  0.5000  0.0000  4 La 2.73, 4 Re 2.97
Re  0.0000  0.5000  0.5000  4 Re 2.73, 4 Fe 2.97
Re  0.5000  0.0000  0.5000  4 Re 2.73, 4 La 2.97

Entry 5:
Computed, not measured: an optimized crystal structure of La2FeRe at the GGA-PBE level of DFT.

Summary:
excess energy over the best structure of this formula in the dataset	0.360	eV per atom
space-group type	Cmmm, No. 65
size of the total moment	1.9	μB/f.u.
D(E_F)	1.304	states/eV/atom
ΔE_f	0.646	eV per atom

Cell lengths 3.1780, 3.1780, 9.2259 Å; angles 90.00, 90.00, 112.68 degrees
Last column: nearest neighbours and their distance in Å.
Fractional coordinates of all 4 atoms:
La  0.0000  0.0000  0.2495  2 Fe 2.90, 2 Re 2.91, 4 La 3.18
La  0.0000  0.0000  0.7505  2 Fe 2.90, 2 Re 2.91, 4 La 3.18
Fe  0.5000  0.5000  0.0000  4 La 2.90, 4 Fe 3.18
Re  0.5000  0.5000  0.5000  4 La 2.91, 4 Re 3.18

Entry 6:
Computed, not measured: an optimized crystal structure of LaFeRe2 at the GGA-PBE level of DFT.

Summary:
excess energy over the best structure of this formula in the dataset	0.000	eV per atom
space-group type	R3m, No. 160
size of the total moment	2.4	μB/f.u.
D(E_F)	1.319	states/eV/atom
ΔE_f	0.232	eV per atom

Cell lengths 5.8815, 5.8815, 5.8815 Å; angles 43.04, 43.04, 43.04 degrees
Last column: nearest neighbours and their distance in Å.
Fractional coordinates of all 4 atoms:
La  0.0000  0.0000  0.0000  4 Fe 3.11-3.34, 4 Re 3.12-3.33
Fe  0.8057  0.8057  0.8057  6 Re 2.54-2.65
Re  0.1954  0.1954  0.1954  3 Re 2.53, 3 Fe 2.65
Re  0.5022  0.5022  0.5022  3 Re 2.53, 3 Fe 2.54

Entry 7:
Computed, not measured: an optimized crystal structure of La2FeRe at the GGA-PBE level of DFT.

Summary:
excess energy over the best structure of this formula in the dataset	0.290	eV per atom
space-group type	F-43m, No. 216
size of the total moment	2.8	μB/f.u.
D(E_F)	1.768	states/eV/atom
ΔE_f	0.576	eV per atom

Cell lengths 4.9242, 4.9242, 4.9242 Å; angles 60.00, 60.00, 60.00 degrees
Last column: nearest neighbours and their distance in Å.
Fractional coordinates of all 4 atoms:
La  0.0000  0.0000  0.0000  4 Re 3.02, 4 La 3.02
La  0.2500  0.2500  0.2500  4 Fe 3.02, 4 La 3.02
Fe  0.5000  0.5000  0.5000  4 Re 3.02, 4 La 3.02
Re  0.7500  0.7500  0.7500  4 Fe 3.02, 4 La 3.02

Entry 8:
Computed, not measured: an optimized crystal structure of LaFe4Re at the GGA-PBE level of DFT.

Summary:
space-group type	F-43m, No. 216
size of the total moment	10.3	μB/f.u.
D(E_F)	1.688	states/eV/atom
ΔE_f	0.379	eV per atom

Cell lengths 5.0473, 5.0473, 5.0473 Å; angles 60.00, 60.00, 60.00 degrees
Last column: nearest neighbours and their distance in Å.
Fractional coordinates of all 6 atoms:
La  0.0000  0.0000  0.0000  12 Fe 2.96, 4 Re 3.09
Fe  0.3768  0.3768  0.3768  6 Fe 2.49-2.56
Fe  0.3768  0.3768  0.8696  6 Fe 2.49-2.56
Fe  0.3768  0.8696  0.3768  6 Fe 2.49-2.56
Fe  0.8696  0.3768  0.3768  6 Fe 2.49-2.56
Re  0.7500  0.7500  0.7500  12 Fe 2.96, 4 La 3.09